## MgRuCl3 (SCAN)

Data for a crystal of MgRuCl3 relaxed with PBEsol.

## Properties
As for the energy relative to the elements, uncorrected: -0.576 eV/atom. The total moment is 3.00 Bohr magnetons per cell.

Unit cell a=4.797 b=4.797 c=4.797 alpha=90.00 beta=90.00 gamma=90.00
Site moments in Bohr magnetons follow the coordinates.
Element x y z (fractional)
1 Ru 0.500 0.500 0.500  2.68
2 Cl 0.000 0.500 0.000  0.02
3 Mg 0.000 0.000 0.000  0.00
4 Cl 0.500 0.000 0.000  0.02
5 Cl 0.000 0.000 0.500  0.02



## KCoAs2 (SCAN)

Data for a crystal of KCoAs2 relaxed with PBEsol.

## Properties
The formation energy from the elements is 54.8 kJ/mol of atoms. The total moment is 1.59 Bohr magnetons per cell.

Unit cell a=4.164 b=4.164 c=5.238 alpha=113.42 beta=113.42 gamma=90.00
Site moments in Bohr magnetons follow the coordinates.
Element x y z (fractional)
1 As 0.750 0.250 0.500  -0.01
2 K 0.250 0.750 0.500  -0.02
3 As 0.000 0.000 0.000  -0.16
4 Co 0.500 0.500 0.000  1.89



## Ba5Fe4S11 (SCAN)

Data for a crystal of Ba5Fe4S11 relaxed with PBEsol.

## Properties
As for the energy relative to the elements, uncorrected: -1.430 eV/atom. The total moment is 28.28 Bohr magnetons per cell.

Unit cell a=6.451 b=8.936 c=16.130 alpha=90.00 beta=90.00 gamma=90.00
Site moments in Bohr magnetons follow the coordinates.
Element x y z (fractional)
1 S 0.240 0.167 0.319  0.10
2 Ba 0.498 0.485 0.326  0.02
3 S 0.759 0.166 0.323  0.06
4 S 0.544 0.108 0.000  0.01
5 Ba 0.995 0.243 0.500  0.02
6 S 0.240 0.167 0.681  0.10
7 S 0.760 0.667 0.819  0.10
8 S 0.509 0.739 0.000  0.06
9 Fe 0.418 0.849 0.500  2.49
10 S 0.241 0.666 0.823  0.06
11 S 0.241 0.666 0.177  0.06
12 Fe 0.495 0.086 0.394  2.96
13 Fe 0.121 0.637 0.500  3.36
14 Fe 0.495 0.086 0.606  2.96
15 S 0.006 0.532 0.616  0.14
16 S 0.994 0.032 0.884  0.14
17 Fe 0.505 0.586 0.894  2.96
18 S 0.920 0.387 0.000  0.16
19 S 0.510 0.847 0.632  0.07
20 S 0.456 0.608 0.500  0.01
21 Ba 0.502 0.985 0.174  0.02
22 S 0.490 0.347 0.132  0.07
23 S 0.510 0.847 0.368  0.07
24 Ba 0.498 0.485 0.674  0.02
25 S 0.490 0.347 0.868  0.07
26 S 0.994 0.032 0.116  0.14
27 Ba 0.502 0.985 0.826  0.02
28 S 0.006 0.532 0.384  0.14
29 Ba 0.005 0.743 0.000  0.02
30 S 0.759 0.166 0.677  0.06
31 Ba 0.003 0.858 0.312  0.03
32 S 0.491 0.239 0.500  0.06
33 Ba 0.003 0.858 0.688  0.03
34 S 0.080 0.887 0.500  0.16
35 S 0.760 0.667 0.181  0.10
36 Ba 0.997 0.358 0.812  0.03
37 Fe 0.582 0.349 0.000  2.49
38 Fe 0.505 0.586 0.106  2.96
39 Fe 0.879 0.137 0.000  3.36
40 Ba 0.997 0.358 0.188  0.03



## AlHgSb2C (SCAN)

Data for a crystal of AlHgSb2C relaxed with PBEsol.

## Properties
As for the energy relative to the elements, uncorrected: 1.704 eV/atom. The total moment is 1.41 Bohr magnetons per cell.

Unit cell a=5.004 b=5.190 c=5.190 alpha=90.00 beta=90.00 gamma=90.00
Site moments in Bohr magnetons follow the coordinates.
Element x y z (fractional)
1 Al 0.000 0.000 0.000  0.02
2 C 0.500 0.500 0.500  0.91
3 Sb 0.000 0.500 0.000  -0.11
4 Hg 0.500 0.000 0.000  0.01
5 Sb 0.000 0.000 0.500  -0.11



## ScTaH3 (SCAN)

Data for a crystal of ScTaH3 relaxed with PBEsol.

## Properties
Its total energy is -92.138 eV/f.u. The total moment is 0.00 Bohr magnetons per cell.

Unit cell a=3.609 b=3.609 c=3.609 alpha=90.00 beta=90.00 gamma=90.00
Element x y z (fractional)
1 H 0.000 0.500 0.000
2 Ta 0.000 0.000 0.000
3 H 0.000 0.000 0.500
4 Sc 0.500 0.500 0.500
5 H 0.500 0.000 0.000



## GeMoRu3 (SCAN)

Data for a crystal of GeMoRu3 relaxed with PBEsol.

## Properties
The formation energy from the elements is 162.8 kJ/mol of atoms. The total moment is 0.00 Bohr magnetons per cell.

Unit cell a=4.560 b=4.560 c=4.560 alpha=90.00 beta=90.00 gamma=90.00
Element x y z (fractional)
1 Ge 0.500 0.500 0.500
2 Ru 0.500 0.000 0.000
3 Ru 0.000 0.000 0.500
4 Ru 0.000 0.500 0.000
5 Mo 0.000 0.000 0.000